# NaZrZn2 | Alexandria | PBE | relaxed
# - formation energy (eV/f.u.) = 0.36
# - D(E_F) (states/eV/f.u.) = 2.5
# - energy above the lowest structure with this stoichiometry (eV/atom) = 0.1258
data_NaZrZn2
_space_group_name_H-M_alt 'F m -3 m'
_space_group_IT_number 225
_space_group_name_Hall '-F 4 2 3'
_cell_length_a 6.7299
_cell_length_b 6.7299
_cell_length_c 6.7299
_cell_angle_alpha 90.00
_cell_angle_beta 90.00
_cell_angle_gamma 90.00
loop_
_atom_site_label
_atom_site_fract_x
_atom_site_fract_y
_atom_site_fract_z
Na1 0.0000 0.0000 0.0000
Zr1 0.0000 0.0000 0.5000
Zn1 0.2500 0.2500 0.2500